(1)
Computed, not measured: an optimized crystal structure of PmGdRh at the PBE level of DFT.

As for the density of states at the Fermi level: 3.568 states/eV/f.u. As for the electronic total energy: -9.24 eV per atom. The value obtained for the formation energy is -0.5081 eV/atom.

The structure belongs to space group F-43m (No. 216); the cell edges are 6.904, 6.904 and 6.904 Å and the angles 90.00°, 90.00° and 90.00°. The asymmetric unit holds Pm at (0.000, 0.000, 0.000), Gd at (0.000, 0.000, 0.500) and Rh at (0.250, 0.250, 0.250).



(2)
Computed, not measured: an optimized crystal structure of Tm2ZnPd at the PBE level of DFT.

As for the density of states at the Fermi level: 2.899 states/eV/f.u. As for the electronic total energy: -4.52 eV per atom. The value obtained for the formation energy is -0.6630 eV/atom.

The structure belongs to space group P4/mmm (No. 123); the cell edges are 3.503, 3.503 and 6.904 Å and the angles 90.00°, 90.00° and 90.00°. The asymmetric unit holds Tm at (0.000, 0.000, 0.246), Zn at (0.500, 0.500, 0.500) and Pd at (0.500, 0.500, 0.000).



(3)
Computed, not measured: an optimized crystal structure of Mn2CoRe at the PBE level of DFT.

As for the density of states at the Fermi level: 3.500 states/eV/f.u. As for the electronic total energy: -9.44 eV per atom. The value obtained for the formation energy is 0.0378 eV/atom.

The structure belongs to space group Pmm2 (No. 25); the cell edges are 2.605, 3.594 and 5.203 Å and the angles 90.00°, 90.00° and 90.00°. The asymmetric unit holds Mn at (0.000, 0.000, 0.000), Mn at (0.500, 0.500, 0.231), Co at (0.500, 0.500, 0.750) and Re at (0.000, 0.000, 0.507).



(4)
Computed, not measured: an optimized crystal structure of NdPF at the PBE level of DFT.

As for the density of states at the Fermi level: 1.587 states/eV/f.u. As for the electronic total energy: -5.76 eV per atom.

The structure belongs to space group I4mm (No. 107); the cell edges are 3.364, 3.364 and 10.134 Å and the angles 90.00°, 90.00° and 90.00°. The asymmetric unit holds Nd at (0.000, 0.000, 0.000), P at (0.000, 0.000, 0.302) and F at (0.000, 0.000, 0.584).



(5)
Computed, not measured: an optimized crystal structure of YNb2RhI at the PBE level of DFT.

As for the density of states at the Fermi level: 7.308 states/eV/f.u. As for the electronic total energy: -5.62 eV per atom.

The structure belongs to space group P4/mmm (No. 123); the cell edges are 4.971, 4.971 and 5.478 Å and the angles 90.00°, 90.00° and 90.00°. The asymmetric unit holds Y at (0.000, 0.000, 0.000), Nb at (0.000, 0.500, 0.500), Rh at (0.500, 0.500, 0.000) and I at (0.000, 0.000, 0.500).



(6)
Computed, not measured: an optimized crystal structure of SrSmTh2As4 at the PBE level of DFT.

As for the density of states at the Fermi level: 3.096 states/eV/f.u. As for the electronic total energy: -6.37 eV per atom. The value obtained for the formation energy is -1.3947 eV/atom.

The structure belongs to space group I-4m2 (No. 119); the cell edges are 6.060, 6.060 and 12.167 Å and the angles 90.00°, 90.00° and 90.00°. The asymmetric unit holds Sr at (0.000, 0.000, 0.000), Sm at (0.000, 0.500, 0.750), Th at (0.000, 0.000, 0.500), Th at (0.000, 0.500, 0.250), As at (0.000, 0.000, 0.257) and As at (0.000, 0.500, 0.002).



(7)
Computed, not measured: an optimized crystal structure of Np2B2S7 at the PBE level of DFT.

As for the density of states at the Fermi level: 14.740 states/eV/f.u. As for the electronic total energy: -6.82 eV per atom.

The structure belongs to space group C2/m (No. 12); the cell edges are 8.327, 9.969 and 5.641 Å and the angles 90.00°, 99.96° and 90.00°. The asymmetric unit holds Np at (0.000, 0.203, 0.000), B at (0.219, 0.500, 0.422), S at (0.000, 0.500, 0.500), S at (0.128, 0.000, 0.274) and S at (0.248, 0.160, 0.750).



(8)
Computed, not measured: an optimized crystal structure of KInTe2Pd at the PBE level of DFT.

As for the density of states at the Fermi level: 2.853 states/eV/f.u. As for the electronic total energy: -3.14 eV per atom.

The structure belongs to space group P4/mmm (No. 123); the cell edges are 5.800, 5.800 and 5.159 Å and the angles 90.00°, 90.00° and 90.00°. The asymmetric unit holds K at (0.000, 0.000, 0.000), In at (0.500, 0.500, 0.500), Te at (0.000, 0.500, 0.500) and Pd at (0.500, 0.500, 0.000).



(9)
Computed, not measured: an optimized crystal structure of SrGa2P2 at the PBE level of DFT.

As for the density of states at the Fermi level: 1.852 states/eV/f.u. As for the electronic total energy: -4.17 eV per atom. The value obtained for the formation energy is -0.4574 eV/atom.

The structure belongs to space group R-3m (No. 166, hexagonal axes); the cell edges are 3.8732, 3.8732 and 25.4501 Å and the angles 90.00°, 90.00° and 120.00°. The asymmetric unit holds Sr at (0.0000, 0.0000, 0.0000), Ga at (0.0000, 0.0000, 0.2107) and P at (0.0000, 0.0000, 0.4153).



(10)
Computed, not measured: an optimized crystal structure of Ce2ZrBi at the PBE level of DFT.

As for the density of states at the Fermi level: 8.106 states/eV/f.u. As for the electronic total energy: -6.38 eV per atom. The value obtained for the formation energy is -0.3017 eV/atom.

The structure belongs to space group P4/mmm (No. 123); the cell edges are 4.533, 4.533 and 5.015 Å and the angles 90.00°, 90.00° and 90.00°. The asymmetric unit holds Ce at (0.000, 0.500, 0.000), Zr at (0.000, 0.000, 0.500) and Bi at (0.500, 0.500, 0.500).



(11)
Computed, not measured: an optimized crystal structure of Zr3Zn7Cu2 at the PBE level of DFT.

As for the density of states at the Fermi level: 8.977 states/eV/f.u. As for the electronic total energy: -3.79 eV per atom. The value obtained for the formation energy is -0.2259 eV/atom.

The structure belongs to space group R-3m (No. 166, hexagonal axes); the cell edges are 5.1689, 5.1689 and 24.9356 Å and the angles 90.00°, 90.00° and 120.00°. The asymmetric unit holds Zr at (0.0000, 0.0000, 0.0000), Zr at (0.0000, 0.0000, 0.1423), Zn at (0.0000, 0.0000, 0.5000), Zn at (0.0056, 0.5028, 0.9180) and Cu at (0.0000, 0.0000, 0.3347).



(12)
Computed, not measured: an optimized crystal structure of Mg2BeOs at the PBE level of DFT.

As for the density of states at the Fermi level: 0.000 states/eV/f.u. As for the electronic total energy: -3.96 eV per atom. The value obtained for the formation energy is 0.5764 eV/atom.

The structure belongs to space group I-42d (No. 122); the cell edges are 6.985, 6.985 and 4.940 Å and the angles 90.00°, 90.00° and 90.00°. The asymmetric unit holds Mg at (0.213, 0.250, 0.125), Be at (0.000, 0.000, 0.000) and Os at (0.000, 0.000, 0.500).



> What is the formula in the twelfth record?

Mg2BeOs